[1]
The following is a GGA-PBE calculation of CaCo2Cl after structural relaxation, from the Alexandria database.

The excess energy over the best structure of this formula in the dataset is 161.0 meV per atom.

It has space group C2/m (No. 12), with a = 10.938 Å, b = 3.413 Å, c = 4.252 Å, α = 90.00°, β = 102.83° and γ = 90.00°. The asymmetric unit holds Ca at (0.000, 0.000, 0.000), Co at (0.221, 0.500, 0.829) and Cl at (0.000, 0.500, 0.500).

[2]
The following is a GGA-PBE calculation of PmHo2Ga3 after structural relaxation, from the Alexandria database.

The value obtained for the total energy is -4.34 eV/atom.

It has space group Cmcm (No. 63), with a = 4.503 Å, b = 21.170 Å, c = 6.291 Å, α = 90.00°, β = 90.00° and γ = 90.00°. The asymmetric unit holds Pm at (0.000, 0.181, 0.250), Ho at (0.000, 0.364, 0.250), Ho at (0.000, 0.468, 0.750), Ga at (0.000, 0.062, 0.544) and Ga at (0.000, 0.226, 0.750).

[3]
The following is a GGA-PBE calculation of LiLaHo after structural relaxation, from the Alexandria database.

The excess energy over the best structure of this formula in the dataset is 44.6 meV per atom.

It has space group P3m1 (No. 156), with a = 3.5423 Å, b = 3.5423 Å, c = 8.4665 Å, α = 90.00°, β = 90.00° and γ = 120.00°. The asymmetric unit holds Li at (0.0000, 0.0000, 0.0000), La at (0.3333, 0.6667, 0.6610) and Ho at (0.6667, 0.3333, 0.3182).

Copy entry 2 word for word.
The following is a GGA-PBE calculation of PmHo2Ga3 after structural relaxation, from the Alexandria database.

The value obtained for the total energy is -4.34 eV/atom.

It has space group Cmcm (No. 63), with a = 4.503 Å, b = 21.170 Å, c = 6.291 Å, α = 90.00°, β = 90.00° and γ = 90.00°. The asymmetric unit holds Pm at (0.000, 0.181, 0.250), Ho at (0.000, 0.364, 0.250), Ho at (0.000, 0.468, 0.750), Ga at (0.000, 0.062, 0.544) and Ga at (0.000, 0.226, 0.750).